Record 1
Here is GaCoNiGe after structural relaxation from Alexandria via LeMat-Bulk. Energies are from PBE.

Results
Calculated volume: 49.8 Å³/cell
ΔH_f (0 K): -0.168 eV/atom
Calculated total energy: -21.2 eV for the cell shown
Total magnetization: 0.0 Bohr magnetons per cell

Lattice parameters (Å, degrees): 4.129 4.129 4.129 60.00 60.00 60.00
Fractional positions:
Ni 0.000 0.000 0.000
Ge 0.250 0.250 0.250
Co 0.500 0.500 0.500
Ga 0.750 0.750 0.750



Record 2
Here is Er6Rh2C after structural relaxation from Alexandria via LeMat-Bulk. Energies are from PBE.

Results
Calculated volume: 422.2 Å³/cell
ΔH_f (0 K): -0.562 eV/atom
Calculated total energy: -112.7 eV for the cell shown
Total magnetization: 0.0 Bohr magnetons per cell

Lattice parameters (Å, degrees): 6.452 7.037 9.301 90.00 88.82 90.00
Fractional positions:
Er 0.117 0.041 0.255
Er 0.172 0.303 0.560
Er 0.191 0.326 0.942
Er 0.309 0.826 0.558
Er 0.328 0.803 0.940
Er 0.383 0.541 0.245
Er 0.883 0.959 0.745
Er 0.828 0.697 0.440
Er 0.809 0.674 0.058
Er 0.691 0.174 0.442
Er 0.672 0.197 0.060
Er 0.617 0.459 0.755
Rh 0.034 0.593 0.754
Rh 0.466 0.093 0.746
Rh 0.534 0.907 0.254
Rh 0.966 0.407 0.246
C 0.500 0.500 0.000
C 0.000 0.000 0.500



Record 3
Here is Np2B2Ir3 after structural relaxation from Alexandria via LeMat-Bulk. Energies are from PBE.

Results
Calculated volume: 98.9 Å³/cell
ΔH_f (0 K): -0.283 eV/atom
Calculated total energy: -67.8 eV for the cell shown
Total magnetization: 0.7 Bohr magnetons per cell

Lattice parameters (Å, degrees): 3.275 5.355 6.906 119.31 90.00 107.81
Site moments in Bohr magnetons follow the coordinates.
Fractional positions:
Np 0.828 0.656 0.152  0.36
Np 0.172 0.344 0.848  0.36
B 0.853 0.706 0.750  0.00
B 0.147 0.294 0.250  0.00
Ir 0.500 0.000 0.000  0.01
Ir 0.617 0.234 0.449  -0.02
Ir 0.383 0.766 0.551  -0.02



Record 4
Here is Th4HgBi3 after structural relaxation from Alexandria via LeMat-Bulk. Energies are from PBE.

Results
Calculated volume: 538.8 Å³/cell
ΔH_f (0 K): -0.450 eV/atom
Calculated total energy: -90.4 eV for the cell shown
Total magnetization: 0.0 Bohr magnetons per cell

Lattice parameters (Å, degrees): 7.898 7.910 9.153 90.00 90.00 109.55
Fractional positions:
Hg 0.750 0.000 0.873
Hg 0.250 0.000 0.127
Th 0.993 0.243 0.633
Th 0.499 0.236 0.883
Th 0.493 0.243 0.367
Th 0.999 0.236 0.117
Th 0.001 0.764 0.883
Th 0.507 0.757 0.633
Th 0.501 0.764 0.117
Th 0.007 0.757 0.367
Bi 0.750 0.000 0.376
Bi 0.250 0.000 0.624
Bi 0.750 0.500 0.624
Bi 0.750 0.500 0.126
Bi 0.250 0.500 0.376
Bi 0.250 0.500 0.874



Record 5
Here is YIr2I after structural relaxation from Alexandria via LeMat-Bulk. Energies are from PBE.

Results
Calculated volume: 80.3 Å³/cell
Raw formation energy: 359.3 meV per atom
Calculated total energy: -24.3 eV for the cell shown
Total magnetization: 0.0 Bohr magnetons per cell

Lattice parameters (Å, degrees): 4.842 4.842 4.842 60.00 60.00 60.00
Fractional positions:
I 0.500 0.500 0.500
Y 0.000 0.000 0.000
Ir 0.250 0.250 0.250
Ir 0.750 0.750 0.750



Record 6
Here is Hf2ReIrI after structural relaxation from Alexandria via LeMat-Bulk. Energies are from PBE.

Results
Calculated volume: 120.9 Å³/cell
Raw formation energy: 1989.6 meV per atom
Calculated total energy: -32.8 eV for the cell shown
Total magnetization: 0.0 Bohr magnetons per cell

Lattice parameters (Å, degrees): 5.076 4.693 5.076 90.00 90.00 90.00
Fractional positions:
I 0.000 0.000 0.000
Re 0.000 0.500 0.000
Ir 0.500 0.500 0.500
Hf 0.000 0.000 0.500
Hf 0.500 0.000 0.000



Record 7
Here is ThMn9B4 after structural relaxation from Alexandria via LeMat-Bulk. Energies are from PBE.

Results
Calculated volume: 303.7 Å³/cell
ΔH_f (0 K): -0.116 eV/atom
Calculated total energy: -236.6 eV for the cell shown
Total magnetization: 13.6 Bohr magnetons per cell

Lattice parameters (Å, degrees): 7.342 7.342 7.662 118.63 118.63 90.00
Site moments in Bohr magnetons follow the coordinates.
Fractional positions:
Th 0.750 0.750 0.500  0.04
Th 0.250 0.250 0.500  0.04
Mn 0.076 0.190 0.000  -0.02
Mn 0.924 0.810 0.000  -0.02
Mn 0.576 0.310 0.000  -0.02
Mn 0.424 0.690 0.000  -0.02
Mn 0.310 0.424 0.000  -0.02
Mn 0.690 0.576 0.000  -0.02
Mn 0.190 0.924 0.000  -0.02
Mn 0.810 0.076 0.000  -0.02
Mn 0.000 0.500 0.000  0.95
Mn 0.500 0.000 0.000  0.95
Mn 0.812 0.312 0.361  1.49
Mn 0.549 0.049 0.361  1.49
Mn 0.951 0.188 0.639  1.49
Mn 0.688 0.451 0.639  1.49
Mn 0.188 0.688 0.639  1.49
Mn 0.451 0.951 0.639  1.49
Mn 0.312 0.549 0.361  1.49
Mn 0.049 0.812 0.361  1.49
B 0.290 0.790 0.251  -0.06
B 0.961 0.461 0.251  -0.06
B 0.539 0.710 0.749  -0.06
B 0.210 0.039 0.749  -0.06
B 0.710 0.210 0.749  -0.06
B 0.039 0.539 0.749  -0.06
B 0.790 0.961 0.251  -0.06
B 0.461 0.290 0.251  -0.06



Record 8
Here is ErCuHg2 after structural relaxation from Alexandria via LeMat-Bulk. Energies are from PBE.

Results
Calculated volume: 86.9 Å³/cell
ΔH_f (0 K): -0.145 eV/atom
Calculated total energy: -9.8 eV for the cell shown
Total magnetization: 0.0 Bohr magnetons per cell

Lattice parameters (Å, degrees): 4.455 4.417 4.417 90.00 90.00 90.00
Fractional positions:
Hg 0.000 0.000 0.500
Hg 0.000 0.500 0.000
Cu 0.500 0.500 0.500
Er 0.500 0.000 0.000